Zn2InPb | SCAN | PBEsol geometry

Cell: 3.213 3.213 8.273 Å, 90.00 90.00 95.49°
Sites, in units of the cell vectors:
Zn  0.500  0.500  0.786
In  0.000  0.000  0.548
Pb  0.500  0.500  0.214
Zn  0.000  0.000  0.952

Energy relative to the lowest polymorph listed for this composition = 38 meV per atom
Uncorrected energy = -33.892 eV per atom
Space group = Cmm2 (35)



Zn4InPb | SCAN | PBEsol geometry

Cell: 5.416 5.416 5.416 Å, 60.00 60.00 60.00°
Sites, in units of the cell vectors:
Zn  0.874  0.375  0.375
Zn  0.375  0.375  0.375
Zn  0.375  0.874  0.375
Zn  0.375  0.375  0.874
In  0.750  0.750  0.750
Pb  0.000  0.000  0.000

Uncorrected energy = -27.047 eV per atom
Space group = F-43m (216)



ZnIn2Pb | SCAN | PBEsol geometry

Cell: 3.410 3.410 9.784 Å, 79.96 79.96 60.00°
Sites, in units of the cell vectors:
In  0.262  0.262  0.215
Pb  0.500  0.500  0.500
Zn  0.000  0.000  0.000
In  0.738  0.738  0.785

Uncorrected energy = -38.906 eV per atom
Space group = R-3m (166)



Zr2InPb | SCAN | PBEsol geometry

Cell: 3.187 3.187 8.661 Å, 90.00 90.00 90.00°
Sites, in units of the cell vectors:
Zr  0.000  0.000  0.241
Pb  0.500  0.500  0.500
Zr  0.000  0.000  0.759
In  0.500  0.500  0.000

Uncorrected energy = -43.024 eV per atom
Space group = P4/mmm (123)



Calculated spin magnetization, 0.000, 0.000, 0.000, 0.000 μB per atom (same order as the records).
Calculated E_form, 0.16, 0.16, 0.11, -0.38 eV/atom (same order as the records).